(1)
{
  "formula": "LiPS2N",
  "functional": "GGA-PBE",
  "state": "relaxed",
  "relative_energy_ev_per_atom": 1.5042,
  "final_energy_ev_per_atom": -3.10,
  "mass_density_g_cm3": 2.3,
  "m_tot_mub_per_fu": 2.28,
  "e_form_raw_kj_per_mol_atoms": 162.63,
  "cell": [[4.279, 0.000, 0.000], [0.000, 4.279, 0.000], [0.000, 0.000, 4.659]],
  "species": ["S", "S", "Li", "N", "P"],
  "frac_coords": [[0.500, 0.000, 0.000], [0.000, 0.500, 0.000], [0.000, 0.000, 0.000], [0.500, 0.500, 0.500], [0.000, 0.000, 0.500]]
}

---

(2)
{
  "formula": "LiPSN2",
  "functional": "GGA-PBE",
  "state": "relaxed",
  "relative_energy_ev_per_atom": 1.4114,
  "final_energy_ev_per_atom": -3.78,
  "mass_density_g_cm3": 2.6,
  "m_tot_mub_per_fu": 1.72,
  "e_form_raw_kj_per_mol_atoms": 177.15,
  "cell": [[3.561, 0.000, 0.000], [0.000, 3.561, 0.000], [0.000, 0.000, 5.010]],
  "species": ["Li", "N", "N", "S", "P"],
  "frac_coords": [[0.000, 0.000, 0.000], [0.000, 0.500, 0.000], [0.500, 0.000, 0.000], [0.000, 0.000, 0.500], [0.500, 0.500, 0.500]]
}

---

(3)
{
  "formula": "LiPSN2",
  "functional": "GGA-PBE",
  "state": "relaxed",
  "relative_energy_ev_per_atom": 0.0000,
  "final_energy_ev_per_atom": -5.20,
  "mass_density_g_cm3": 2.8,
  "m_tot_mub_per_fu": 0.27,
  "e_form_raw_kj_per_mol_atoms": 40.96,
  "cell": [[3.342, 0.000, 0.000], [0.000, 3.342, 0.000], [0.000, 0.000, 5.248]],
  "species": ["N", "N", "Li", "P", "S"],
  "frac_coords": [[0.000, 0.500, 0.000], [0.500, 0.000, 0.000], [0.500, 0.500, 0.500], [0.000, 0.000, 0.000], [0.000, 0.000, 0.500]]
}

---

(4)
{
  "formula": "Li2ScPN",
  "functional": "GGA-PBE",
  "state": "relaxed",
  "final_energy_ev_per_atom": -4.33,
  "mass_density_g_cm3": 2.3,
  "m_tot_mub_per_fu": 0.00,
  "e_form_raw_kj_per_mol_atoms": 43.10,
  "cell": [[4.390, 0.000, 0.000], [0.000, 3.809, 0.000], [0.000, 0.000, 4.390]],
  "species": ["Li", "Li", "Sc", "N", "P"],
  "frac_coords": [[0.000, 0.000, 0.500], [0.500, 0.000, 0.000], [0.500, 0.500, 0.500], [0.000, 0.500, 0.000], [0.000, 0.000, 0.000]]
}

---

(5)
{
  "formula": "LiPSe2N",
  "functional": "GGA-PBE",
  "state": "relaxed",
  "relative_energy_ev_per_atom": 0.9682,
  "final_energy_ev_per_atom": -3.42,
  "mass_density_g_cm3": 4.5,
  "m_tot_mub_per_fu": 0.24,
  "e_form_raw_kj_per_mol_atoms": 106.50,
  "cell": [[4.738, 0.000, 0.000], [0.000, 4.738, 0.000], [0.000, 0.000, 3.459]],
  "species": ["P", "Li", "Se", "Se", "N"],
  "frac_coords": [[0.500, 0.500, 0.500], [0.000, 0.000, 0.000], [0.500, 0.000, 0.000], [0.000, 0.500, 0.000], [0.000, 0.000, 0.500]]
}

---

(6)
{
  "formula": "LiPSe2N",
  "functional": "GGA-PBE",
  "state": "relaxed",
  "relative_energy_ev_per_atom": 0.0000,
  "final_energy_ev_per_atom": -4.39,
  "mass_density_g_cm3": 4.1,
  "m_tot_mub_per_fu": 0.00,
  "e_form_raw_kj_per_mol_atoms": 13.08,
  "cell": [[-3.018, -4.159, -0.332], [1.742, -1.628, 4.565], [-2.360, 1.595, 1.469]],
  "species": ["P", "Se", "Se", "N", "Li"],
  "frac_coords": [[0.000, 0.000, 0.000], [0.500, 0.000, 0.000], [0.000, 0.500, 0.000], [0.000, 0.000, 0.500], [0.500, 0.500, 0.500]]
}

---

(7)
{
  "formula": "Li2SiPN4",
  "functional": "GGA-PBE",
  "state": "relaxed",
  "final_energy_ev_per_atom": -6.71,
  "mass_density_g_cm3": 2.6,
  "m_tot_mub_per_fu": 1.04,
  "e_form_raw_kj_per_mol_atoms": -68.85,
  "cell": [[4.598, 0.001, -0.002], [0.000, 4.598, -0.002], [-2.297, -2.298, 3.839]],
  "species": ["P", "Li", "Li", "N", "N", "N", "N", "Si"],
  "frac_coords": [[0.736, 0.736, 0.472], [0.236, 0.236, 0.472], [0.486, 0.986, 0.972], [0.688, 0.622, 0.718], [0.376, 0.784, 0.226], [0.030, 0.096, 0.718], [0.850, 0.442, 0.226], [0.986, 0.486, 0.972]]
}

---

(8)
{
  "formula": "LiSmPN3",
  "functional": "GGA-PBE",
  "state": "relaxed",
  "final_energy_ev_per_atom": -6.90,
  "mass_density_g_cm3": 5.7,
  "m_tot_mub_per_fu": 0.00,
  "e_form_raw_kj_per_mol_atoms": -70.18,
  "cell": [[3.129, 0.000, 0.000], [-1.565, 5.556, 0.000], [0.000, 0.000, 7.669]],
  "species": ["N", "N", "N", "N", "N", "N", "Sm", "Sm", "P", "P", "Li", "Li"],
  "frac_coords": [[0.035, 0.070, 0.750], [0.643, 0.287, 0.421], [0.965, 0.930, 0.250], [0.643, 0.287, 0.079], [0.357, 0.713, 0.579], [0.357, 0.713, 0.921], [0.283, 0.567, 0.250], [0.717, 0.433, 0.750], [0.439, 0.877, 0.750], [0.561, 0.123, 0.250], [0.000, 0.000, 0.000], [0.000, 0.000, 0.500]]
}

---

(9)
{
  "formula": "SrLiPN3",
  "functional": "GGA-PBE",
  "state": "relaxed",
  "final_energy_ev_per_atom": -6.18,
  "mass_density_g_cm3": 4.1,
  "m_tot_mub_per_fu": 0.00,
  "e_form_raw_kj_per_mol_atoms": -50.13,
  "cell": [[-1.371, 2.580, -4.116], [-4.618, 1.521, 2.491], [4.593, 3.276, 0.524]],
  "species": ["N", "N", "N", "N", "N", "N", "Li", "Li", "P", "P", "Sr", "Sr"],
  "frac_coords": [[0.250, 0.219, 0.437], [0.500, 0.788, 0.000], [0.000, 0.788, 0.000], [0.000, 0.212, 0.000], [0.750, 0.781, 0.563], [0.500, 0.212, 0.000], [0.250, 0.424, 0.847], [0.750, 0.576, 0.153], [0.750, 0.946, 0.892], [0.250, 0.054, 0.108], [0.750, 0.269, 0.538], [0.250, 0.731, 0.462]]
}

---

(10)
{
  "formula": "Li2TaPN4",
  "functional": "GGA-PBE",
  "state": "relaxed",
  "final_energy_ev_per_atom": -7.66,
  "mass_density_g_cm3": 5.0,
  "m_tot_mub_per_fu": 0.00,
  "e_form_raw_kj_per_mol_atoms": -83.09,
  "cell": [[4.706, 0.001, -0.003], [-0.001, 4.706, -0.002], [-2.350, -2.351, 4.199]],
  "species": ["P", "N", "N", "N", "N", "Li", "Li", "Ta"],
  "frac_coords": [[0.736, 0.736, 0.472], [0.035, 0.070, 0.702], [0.402, 0.806, 0.242], [0.840, 0.436, 0.242], [0.666, 0.632, 0.702], [0.486, 0.986, 0.972], [0.236, 0.236, 0.472], [0.986, 0.486, 0.972]]
}

---

(11)
{
  "formula": "Li2TbPN4",
  "functional": "GGA-PBE",
  "state": "relaxed",
  "final_energy_ev_per_atom": -6.54,
  "mass_density_g_cm3": 5.0,
  "m_tot_mub_per_fu": 0.00,
  "e_form_raw_kj_per_mol_atoms": -62.37,
  "cell": [[5.212, 0.000, 0.000], [2.606, 4.063, -0.632], [2.606, -0.178, 4.108]],
  "species": ["N", "N", "N", "N", "Li", "Li", "Tb", "P"],
  "frac_coords": [[0.000, 0.827, 0.549], [0.625, 0.549, 0.827], [0.375, 0.173, 0.451], [0.000, 0.451, 0.173], [0.500, 0.750, 0.250], [0.500, 0.250, 0.750], [0.000, 0.000, 0.000], [0.000, 0.500, 0.500]]
}

---

(12)
{
  "formula": "Li2TcPN4",
  "functional": "GGA-PBE",
  "state": "relaxed",
  "final_energy_ev_per_atom": -6.98,
  "mass_density_g_cm3": 3.7,
  "m_tot_mub_per_fu": 1.47,
  "e_form_raw_kj_per_mol_atoms": -35.59,
  "cell": [[-1.299, -2.399, -3.751], [3.219, -3.206, 0.935], [-3.731, 0.694, 3.716]],
  "species": ["N", "N", "N", "N", "Tc", "Li", "Li", "P"],
  "frac_coords": [[0.327, 0.787, 0.198], [0.871, 0.411, 0.198], [0.060, 0.145, 0.745], [0.685, 0.601, 0.745], [0.736, 0.736, 0.472], [0.486, 0.986, 0.972], [0.236, 0.236, 0.472], [0.986, 0.486, 0.972]]
}